# SbIr2CF PBE optimized geometry
# Space-group type: P4/mmm, No. 123
# Raw formation energy, eV/atom: 0.095
data_SbIr2CF
_chemical_formula_sum 'Sb1 Ir2 C1 F1'
_space_group_name_H-M_alt 'P 1'
_space_group_IT_number 1
_cell_length_a 3.953
_cell_length_b 3.953
_cell_length_c 4.799
_cell_angle_alpha 90.00
_cell_angle_beta 90.00
_cell_angle_gamma 90.00
loop_
_space_group_symop_operation_xyz
'x,y,z'
loop_
_atom_site_label
_atom_site_fract_x
_atom_site_fract_y
_atom_site_fract_z
_atom_site_occupancy
Sb1 0.000 0.000 0.000 1
Ir1 0.000 0.500 0.500 1
Ir2 0.500 0.000 0.500 1
C1 0.500 0.500 0.500 1
F1 0.500 0.500 0.000 1